Record 1
Here is a geometry-optimized TaTl2SbAu structure from Alexandria. Energies are from PBE.

extended XYZ file:
```
5
Lattice="5.317 0.000 0.000 0.000 5.317 0.000 0.000 0.000 5.525" Properties=species:S:1:pos:R:3 pbc="T T T"
Ta 0.000 0.000 0.000
Tl 0.000 2.659 2.762
Tl 2.659 0.000 2.762
Sb 2.659 2.659 0.000
Au 2.659 2.659 2.762
```

Crystal system: tetragonal
Energy relative to the elements, uncorrected in eV/atom: 1.22
Electronic total energy in eV per cell: -17.90
Total magnetization in μB per atom: 0.58



Record 2
Here is a geometry-optimized TaVSb2Au structure from Alexandria. Energies are from PBE.

extended XYZ file:
```
5
Lattice="5.237 0.000 0.000 0.000 5.237 0.000 0.000 0.000 5.075" Properties=species:S:1:pos:R:3 pbc="T T T"
Ta 0.000 0.000 0.000
V 2.619 2.619 0.000
Sb 0.000 2.619 2.537
Sb 2.619 0.000 2.537
Au 0.000 0.000 2.537
```

Crystal system: tetragonal
Energy relative to the elements, uncorrected in eV/atom: 1.69
Electronic total energy in eV per cell: -24.06
Total magnetization in μB per atom: 0.17



Record 3
Here is a geometry-optimized Tb2SbAu structure from Alexandria. Energies are from PBE.

extended XYZ file:
```
8
Lattice="2.058 -11.778 0.000 2.058 11.778 0.000 0.000 0.000 4.534" Properties=species:S:1:pos:R:3 pbc="T T T"
Tb 2.058 10.347 3.400
Tb 2.058 4.198 3.400
Tb 2.058 -4.198 1.133
Tb 2.058 -10.347 1.133
Sb 2.058 7.306 3.400
Sb 2.058 -7.306 1.133
Au 2.058 0.993 3.400
Au 2.058 -0.993 1.133
```

Crystal system: orthorhombic
Energy relative to the elements, uncorrected in eV/atom: -0.92
Electronic total energy in eV per cell: -40.64
Total magnetization in μB per atom: 0.00



Record 4
Here is a geometry-optimized TbSb2Au structure from Alexandria. Energies are from PBE.

extended XYZ file:
```
4
Lattice="2.779 1.605 3.865 -2.779 1.605 3.865 0.000 -3.209 3.865" Properties=species:S:1:pos:R:3 pbc="T T T"
Tb 0.000 0.000 0.000
Sb 0.000 0.000 3.103
Sb 0.000 0.000 8.493
Au 0.000 0.000 5.798
```

Crystal system: trigonal
Energy relative to the elements, uncorrected in eV/atom: -0.31
Electronic total energy in eV per cell: -17.39
Total magnetization in μB per atom: 0.00



Record 5
Here is a geometry-optimized TbSb2Au structure from Alexandria. Energies are from PBE.

extended XYZ file:
```
4
Lattice="4.765 0.000 0.000 0.000 4.765 0.000 0.000 0.000 4.254" Properties=species:S:1:pos:R:3 pbc="T T T"
Tb 0.000 0.000 0.000
Sb 0.000 2.383 2.127
Sb 2.383 0.000 2.127
Au 2.383 2.383 0.000
```

Crystal system: tetragonal
Energy relative to the elements, uncorrected in eV/atom: -0.56
Electronic total energy in eV per cell: -18.38
Total magnetization in μB per atom: 0.00



Record 6
Here is a geometry-optimized Tb8Sb2Au structure from Alexandria. Energies are from PBE.

extended XYZ file:
```
11
Lattice="9.463 -2.423 0.000 9.463 2.423 0.000 -1.188 0.000 7.012" Properties=species:S:1:pos:R:3 pbc="T T T"
Tb -0.123 0.000 1.880
Tb 3.077 0.000 5.931
Tb 5.972 0.000 3.323
Tb 7.672 0.000 0.029
Tb 10.065 0.000 6.983
Tb 11.765 0.000 3.689
Tb 14.660 0.000 1.081
Tb 17.860 0.000 5.132
Sb 3.110 0.000 1.893
Sb 14.627 0.000 5.119
Au 8.869 0.000 3.506
```

Crystal system: monoclinic
Energy relative to the elements, uncorrected in eV/atom: -0.50
Electronic total energy in eV per cell: -54.02
Total magnetization in μB per atom: 0.00



Record 7
Here is a geometry-optimized TbSb3Au structure from Alexandria. Energies are from PBE.

extended XYZ file:
```
20
Lattice="13.253 0.000 0.000 0.000 6.233 0.000 0.000 0.000 6.206" Properties=species:S:1:pos:R:3 pbc="T T T"
Tb 2.416 0.097 1.552
Tb 2.416 3.020 4.655
Tb 10.838 3.213 1.552
Tb 10.838 6.136 4.655
Sb 0.009 1.558 0.000
Sb 0.009 1.558 3.103
Sb 3.250 3.288 1.552
Sb 3.250 6.062 4.655
Sb 5.761 4.119 4.655
Sb 5.761 5.231 1.552
Sb 7.492 1.003 4.655
Sb 7.492 2.114 1.552
Sb 10.003 0.172 1.552
Sb 10.003 2.945 4.655
Sb 13.244 4.675 0.000
Sb 13.244 4.675 3.103
Au 4.945 1.558 0.000
Au 4.945 1.558 3.103
Au 8.308 4.675 0.000
Au 8.308 4.675 3.103
```

Crystal system: orthorhombic
Energy relative to the elements, uncorrected in eV/atom: -0.42
Electronic total energy in eV per cell: -89.49
Total magnetization in μB per atom: 0.00



Record 8
Here is a geometry-optimized Tb7Sb2Au2 structure from Alexandria. Energies are from PBE.

extended XYZ file:
```
11
Lattice="4.476 -5.472 0.000 4.476 5.472 0.000 0.000 0.000 6.968" Properties=species:S:1:pos:R:3 pbc="T T T"
Tb 0.000 0.000 0.000
Tb 2.238 2.736 1.787
Tb 2.238 2.736 5.181
Tb 2.238 -2.736 1.787
Tb 2.238 -2.736 5.181
Tb 4.476 0.000 1.694
Tb 4.476 0.000 5.274
Sb 1.792 0.000 3.484
Sb 7.159 0.000 3.484
Au 4.476 2.420 0.000
Au 4.476 -2.420 0.000
```

Crystal system: orthorhombic
Energy relative to the elements, uncorrected in eV/atom: -0.47
Electronic total energy in eV per cell: -52.40
Total magnetization in μB per atom: 0.00



Record 9
Here is a geometry-optimized Tb5Sb2Au structure from Alexandria. Energies are from PBE.

extended XYZ file:
```
16
Lattice="2.944 -6.021 0.000 2.944 6.021 0.000 0.000 0.000 14.211" Properties=species:S:1:pos:R:3 pbc="T T T"
Tb 2.944 5.254 8.628
Tb 2.944 5.254 12.688
Tb 2.944 1.808 3.553
Tb 2.944 1.465 8.060
Tb 2.944 1.465 13.256
Tb 2.944 -1.465 0.955
Tb 2.944 -1.465 6.151
Tb 2.944 -1.808 10.658
Tb 2.944 -5.254 1.523
Tb 2.944 -5.254 5.583
Sb 2.944 3.700 1.232
Sb 2.944 3.700 5.874
Sb 2.944 -3.700 8.337
Sb 2.944 -3.700 12.979
Au 2.944 3.133 10.658
Au 2.944 -3.133 3.553
```

Crystal system: orthorhombic
Energy relative to the elements, uncorrected in eV/atom: -0.48
Electronic total energy in eV per cell: -77.05
Total magnetization in μB per atom: 0.00



Record 10
Here is a geometry-optimized Tb2SbAu structure from Alexandria. Energies are from PBE.

extended XYZ file:
```
4
Lattice="3.809 0.000 0.000 0.000 3.809 0.000 0.000 0.000 7.024" Properties=species:S:1:pos:R:3 pbc="T T T"
Tb 0.000 0.000 1.731
Tb 0.000 0.000 5.294
Sb 1.905 1.905 3.512
Au 1.905 1.905 0.000
```

Crystal system: tetragonal
Energy relative to the elements, uncorrected in eV/atom: -0.83
Electronic total energy in eV per cell: -19.97
Total magnetization in μB per atom: 0.00



Record 11
Here is a geometry-optimized TcSbAu2 structure from Alexandria. Energies are from PBE.

extended XYZ file:
```
4
Lattice="3.454 0.000 0.000 0.000 3.454 0.000 0.000 0.000 6.167" Properties=species:S:1:pos:R:3 pbc="T T T"
Tc 0.000 0.000 0.000
Sb 1.727 1.727 4.930
Au 0.000 0.000 3.077
Au 1.727 1.727 1.655
```

Crystal system: tetragonal
Energy relative to the elements, uncorrected in eV/atom: 0.21
Electronic total energy in eV per cell: -20.18
Total magnetization in μB per atom: 0.00



Record 12
Here is a geometry-optimized TcSbAu2 structure from Alexandria. Energies are from PBE.

extended XYZ file:
```
4
Lattice="3.377 0.000 0.000 0.000 4.048 0.000 0.000 0.000 5.619" Properties=species:S:1:pos:R:3 pbc="T T T"
Tc 0.000 0.000 0.000
Sb 0.000 0.000 2.810
Au 1.688 2.024 1.354
Au 1.688 2.024 4.265
```

Crystal system: orthorhombic
Energy relative to the elements, uncorrected in eV/atom: 0.41
Electronic total energy in eV per cell: -19.40
Total magnetization in μB per atom: 0.58



Record 13
Here is a geometry-optimized TcSbAu2 structure from Alexandria. Energies are from PBE.

extended XYZ file:
```
4
Lattice="4.965 -1.606 0.000 4.965 1.606 0.000 -2.244 0.000 4.726" Properties=species:S:1:pos:R:3 pbc="T T T"
Tc 0.000 0.000 0.000
Sb 0.578 0.000 4.553
Au 3.532 0.000 2.563
Au 6.199 0.000 2.001
```

Crystal system: monoclinic
Energy relative to the elements, uncorrected in eV/atom: 0.24
Electronic total energy in eV per cell: -20.09
Total magnetization in μB per atom: 0.00



Record 14
Here is a geometry-optimized TcSbAu2 structure from Alexandria. Energies are from PBE.

extended XYZ file:
```
4
Lattice="2.721 -4.152 0.000 2.721 4.152 0.000 0.000 0.000 3.310" Properties=species:S:1:pos:R:3 pbc="T T T"
Tc 0.000 0.000 0.000
Sb 2.721 0.000 0.000
Au 1.361 2.076 1.655
Au 1.361 -2.076 1.655
```

Crystal system: orthorhombic
Energy relative to the elements, uncorrected in eV/atom: 0.36
Electronic total energy in eV per cell: -19.59
Total magnetization in μB per atom: 0.00



Record 15
Here is a geometry-optimized Tc2Sb2Au structure from Alexandria. Energies are from PBE.

extended XYZ file:
```
10
Lattice="7.484 0.000 0.000 0.000 7.484 0.000 0.000 0.000 3.299" Properties=species:S:1:pos:R:3 pbc="T T T"
Tc 1.059 2.683 0.000
Tc 2.683 6.425 0.000
Tc 4.801 1.059 0.000
Tc 6.425 4.801 0.000
Sb 1.164 4.906 1.650
Sb 2.577 1.164 1.650
Sb 4.906 6.319 1.650
Sb 6.319 2.577 1.650
Au 0.000 0.000 0.000
Au 3.742 3.742 0.000
```

Crystal system: tetragonal
Energy relative to the elements, uncorrected in eV/atom: 0.13
Electronic total energy in eV per cell: -63.24
Total magnetization in μB per atom: 0.00



Record 16
Here is a geometry-optimized TcSbAu2 structure from Alexandria. Energies are from PBE.

extended XYZ file:
```
4
Lattice="3.154 0.000 0.000 0.000 5.283 0.000 -0.070 0.000 4.543" Properties=species:S:1:pos:R:3 pbc="T T T"
Tc 0.000 0.000 0.000
Sb 1.542 0.000 2.272
Au 0.732 2.642 3.429
Au 2.352 2.642 1.115
```

Crystal system: monoclinic
Energy relative to the elements, uncorrected in eV/atom: 0.34
Electronic total energy in eV per cell: -19.67
Total magnetization in μB per atom: 0.19



Record 17
Here is a geometry-optimized TcSbAu2 structure from Alexandria. Energies are from PBE.

extended XYZ file:
```
4
Lattice="2.876 0.000 0.000 0.000 4.903 0.000 0.000 0.000 5.290" Properties=species:S:1:pos:R:3 pbc="T T T"
Tc 0.000 0.000 0.000
Sb 0.000 2.451 1.397
Au 1.438 0.000 2.716
Au 1.438 2.451 4.207
```

Crystal system: orthorhombic
Energy relative to the elements, uncorrected in eV/atom: 0.37
Electronic total energy in eV per cell: -19.57
Total magnetization in μB per atom: 0.00



Record 18
Here is a geometry-optimized TcSbAu2 structure from Alexandria. Energies are from PBE.

extended XYZ file:
```
4
Lattice="-2.168 2.168 3.871 2.168 -2.168 3.871 2.168 2.168 -3.871" Properties=species:S:1:pos:R:3 pbc="T T T"
Tc 0.000 0.000 0.000
Sb 0.000 2.168 1.935
Au 2.168 0.000 1.935
Au 0.000 0.000 3.871
```

Crystal system: tetragonal
Energy relative to the elements, uncorrected in eV/atom: 0.35
Electronic total energy in eV per cell: -19.64
Total magnetization in μB per atom: 0.00



Record 19
Here is a geometry-optimized TcSbAu2 structure from Alexandria. Energies are from PBE.

extended XYZ file:
```
4
Lattice="2.950 0.000 0.000 0.000 2.950 0.000 0.000 0.000 8.878" Properties=species:S:1:pos:R:3 pbc="T T T"
Tc 0.000 0.000 0.000
Sb 0.000 0.000 4.439
Au 1.475 1.475 1.923
Au 1.475 1.475 6.955
```

Crystal system: tetragonal
Energy relative to the elements, uncorrected in eV/atom: 0.39
Electronic total energy in eV per cell: -19.47
Total magnetization in μB per atom: 0.16



Record 20
Here is a geometry-optimized TcSb4Au structure from Alexandria. Energies are from PBE.

extended XYZ file:
```
6
Lattice="0.000 4.308 4.308 4.308 0.000 4.308 4.308 4.308 0.000" Properties=species:S:1:pos:R:3 pbc="T T T"
Tc 0.000 0.000 0.000
Sb 3.238 3.238 3.238
Sb 5.378 5.378 3.238
Sb 5.378 3.238 5.378
Sb 3.238 5.378 5.378
Au 6.462 6.462 6.462
```

Crystal system: cubic
Energy relative to the elements, uncorrected in eV/atom: 0.95
Electronic total energy in eV per cell: -24.45
Total magnetization in μB per atom: 0.65